Entry 1:
Th3TlIr2 after structural relaxation. Source: Alexandria via LeMat-Bulk, functional GGA-PBE.

Cell: 7.4489 4.0563 10.8550 Å, 90.00 90.00 90.00°
Closest atoms and distances in Å follow each position.
Positions (direct):
Th1 0.0000 0.0000 0.0000  6 Ir 2.97-3.05
Th2 0.0000 0.5000 0.3010  3 Ir 2.85-2.88
Th3 0.0000 0.5000 0.6990  3 Ir 2.85-2.88
Th4 0.5000 0.0000 0.0000  6 Ir 2.97-3.05
Th5 0.5000 0.5000 0.3010  3 Ir 2.85-2.88
Th6 0.5000 0.5000 0.6990  3 Ir 2.85-2.88
Tl1 0.2500 0.0000 0.4937  1 Ir 3.07
Tl2 0.7500 0.0000 0.5063  1 Ir 3.07
Ir1 0.2500 0.0000 0.7770  6 Th 2.88-3.05, 1 Tl 3.07
Ir2 0.2500 0.5000 0.1021  6 Th 2.85-2.97
Ir3 0.7500 0.0000 0.2230  6 Th 2.88-3.05, 1 Tl 3.07
Ir4 0.7500 0.5000 0.8979  6 Th 2.85-2.97

- SG = No. 51
- energy of formation from the pure elements (meV per atom) = -645


Entry 2:
ThTlIr after structural relaxation. Source: Alexandria via LeMat-Bulk, functional GGA-PBE.

Cell: 4.9923 4.9923 8.0931 Å, 107.28 107.28 59.22°
Closest atoms and distances in Å follow each position.
Positions (direct):
Th1 0.1172 0.1172 0.3485  4 Ir 2.79-2.91
Th2 0.8828 0.8828 0.6515  4 Ir 2.79-2.91
Tl1 0.3716 0.3716 0.1089  4 Ir 3.00-3.23, 3 Tl 3.28-3.33
Tl2 0.6284 0.6284 0.8911  4 Ir 3.00-3.23, 3 Tl 3.28-3.33
Ir1 0.2338 0.2338 0.7150  4 Th 2.79-2.91, 1 Tl 3.00
Ir2 0.7662 0.7662 0.2850  4 Th 2.79-2.91, 1 Tl 3.00

- SG = No. 12
- energy of formation from the pure elements (meV per atom) = -443


Entry 3:
Th6Tl2Ir after structural relaxation. Source: Alexandria via LeMat-Bulk, functional GGA-PBE.

Cell: 6.3649 8.2421 12.1821 Å, 90.00 119.27 90.00°
Closest atoms and distances in Å follow each position.
Positions (direct):
Th1 0.0728 0.1910 0.4573  1 Ir 2.96, 1 Tl 3.24
Th2 0.0728 0.3090 0.9573  1 Ir 2.96, 1 Tl 3.24
Th3 0.3244 0.6687 0.4565  1 Ir 2.90, 1 Tl 3.23
Th4 0.3244 0.8313 0.9565  1 Ir 2.90, 1 Tl 3.23
Th5 0.3736 0.0268 0.2466  1 Ir 2.79
Th6 0.3736 0.4732 0.7466  1 Ir 2.79
Th7 0.6264 0.5268 0.2534  1 Ir 2.79
Th8 0.6264 0.9732 0.7534  1 Ir 2.79
Th9 0.6756 0.1687 0.0435  1 Ir 2.90, 1 Tl 3.23
Th10 0.6756 0.3313 0.5435  1 Ir 2.90, 1 Tl 3.23
Th11 0.9272 0.6910 0.0427  1 Ir 2.96, 1 Tl 3.24
Th12 0.9272 0.8090 0.5427  1 Ir 2.96, 1 Tl 3.24
Tl1 0.1419 0.1142 0.7463  9 Th 3.23-3.58
Tl2 0.1419 0.3858 0.2463  9 Th 3.23-3.58
Tl3 0.8581 0.6142 0.7537  9 Th 3.23-3.58
Tl4 0.8581 0.8858 0.2537  9 Th 3.23-3.58
Ir1 0.5000 0.0000 0.5000  6 Th 2.79-2.96
Ir2 0.5000 0.5000 0.0000  6 Th 2.79-2.96

- SG = No. 14
- energy of formation from the pure elements (meV per atom) = -170


Entry 4:
Th2TlIr after structural relaxation. Source: Alexandria via LeMat-Bulk, functional GGA-PBE.

Cell: 8.6992 8.6992 8.6992 Å, 27.11 27.11 27.11°
Closest atoms and distances in Å follow each position.
Positions (direct):
Th1 0.0000 0.0000 0.0000  3 Ir 2.85
Th2 0.2037 0.2037 0.2037  3 Ir 2.87
Tl1 0.4346 0.4346 0.4346  6 Th 3.47-3.49
Ir1 0.6025 0.6025 0.6025  6 Th 2.85-2.87

- SG = No. 160
- excess energy over the best structure of this formula in the dataset (eV/atom) = 0.032
- energy of formation from the pure elements (meV per atom) = -510


Entry 5:
Th6TlIr after structural relaxation. Source: Alexandria via LeMat-Bulk, functional GGA-PBE.

Cell: 6.5854 6.5854 6.5842 Å, 102.86 102.86 102.87°
Closest atoms and distances in Å follow each position.
Positions (direct):
Th1 0.1149 0.7046 0.7028  1 Ir 2.79
Th2 0.2954 0.8851 0.2972  1 Ir 2.79
Th3 0.2964 0.2964 0.8862  1 Ir 2.79
Th4 0.7036 0.7036 0.1138  1 Ir 2.79
Th5 0.7046 0.1149 0.7028  1 Ir 2.79
Th6 0.8851 0.2954 0.2972  1 Ir 2.79
Tl1 0.5000 0.5000 0.5000  12 Th 3.50-3.79
Ir1 0.0000 0.0000 0.0000  6 Th 2.79

- SG = No. 12
- energy of formation from the pure elements (meV per atom) = -100


Entry 6:
Th5Tl2Ir after structural relaxation. Source: Alexandria via LeMat-Bulk, functional GGA-PBE.

Cell: 8.1599 8.1599 13.3124 Å, 90.00 90.00 140.21°
Closest atoms and distances in Å follow each position.
Positions (direct):
Th1 0.0847 0.9153 0.5927  1 Ir 2.81
Th2 0.0847 0.9153 0.9073  1 Ir 2.81
Th3 0.3041 0.6959 0.5363  1 Ir 3.21, 2 Tl 3.30, 3 Th 3.38-3.45
Th4 0.3041 0.6959 0.9637  1 Ir 3.21, 2 Tl 3.30, 3 Th 3.38-3.45
Th5 0.3179 0.6821 0.2500  2 Ir 2.80
Th6 0.6821 0.3179 0.7500  2 Ir 2.80
Th7 0.6959 0.3041 0.0363  1 Ir 3.21, 2 Tl 3.30, 3 Th 3.38-3.45
Th8 0.6959 0.3041 0.4637  1 Ir 3.21, 2 Tl 3.30, 3 Th 3.38-3.45
Th9 0.9153 0.0847 0.0927  1 Ir 2.81
Th10 0.9153 0.0847 0.4073  1 Ir 2.81
Tl1 0.1234 0.8766 0.1410  1 Tl 2.90, 1 Th 3.17
Tl2 0.1234 0.8766 0.3590  1 Tl 2.90, 1 Th 3.17
Tl3 0.8766 0.1234 0.6410  1 Tl 2.90, 1 Th 3.17
Tl4 0.8766 0.1234 0.8590  1 Tl 2.90, 1 Th 3.17
Ir1 0.2069 0.7931 0.7500  4 Th 2.80-2.81
Ir2 0.7931 0.2069 0.2500  4 Th 2.80-2.81

- SG = No. 63
- energy of formation from the pure elements (meV per atom) = 151